1.
VASP calculation (GGA-PBE) on a geometry-optimized LaB3Sb structure.

**Uncorrected energy**: -3.635 eV/atom
**Distance to the lowest polymorph of the same formula**: 21.51 kcal/mol of atoms
**Formation energy (no corrections)**: 211 kJ per mole of atoms
**Symmetry**: Pm-3m, No. 221

Cell lengths 4.8085, 4.8085, 4.8085 Å; angles 90.00, 90.00, 90.00 degrees
With the nearest neighbours (Å) after each atom.
Atoms (fractional coordinates):
1 Sb 0.5000 0.5000 0.5000  12 B 3.40
2 B 0.0000 0.5000 0.0000  2 La 2.40
3 B 0.0000 0.0000 0.5000  2 La 2.40
4 B 0.5000 0.0000 0.0000  2 La 2.40
5 La 0.0000 0.0000 0.0000  6 B 2.40

2.
VASP calculation (GGA-PBE) on a geometry-optimized Li2CuF4 structure.

**Uncorrected energy**: -4.516 eV/atom
**Distance to the lowest polymorph of the same formula**: 0.63 kcal/mol of atoms
**Formation energy (no corrections)**: -223 kJ per mole of atoms
**Symmetry**: P2_1/c, No. 14

Cell lengths 5.5838, 5.5666, 11.0928 Å; angles 66.67, 90.00, 90.00 degrees
With the nearest neighbours (Å) after each atom.
Atoms (fractional coordinates):
1 Li 0.4094 0.6303 0.2612  4 F 1.90-1.96
2 Li 0.2028 0.8518 0.9937  4 F 1.90-2.06
3 Li 0.7028 0.1482 0.5063  4 F 1.90-2.06
4 Li 0.9094 0.3697 0.2388  4 F 1.90-1.96
5 Li 0.0906 0.6303 0.7612  4 F 1.90-1.96
6 Li 0.2972 0.8518 0.4937  4 F 1.90-2.06
7 Li 0.7972 0.1482 0.0063  4 F 1.90-2.06
8 Li 0.5906 0.3697 0.7388  4 F 1.90-1.96
9 Cu 0.1293 0.2354 0.6203  4 F 1.90-1.95
10 Cu 0.6293 0.7646 0.8797  4 F 1.90-1.95
11 Cu 0.3707 0.2354 0.1203  4 F 1.90-1.95
12 Cu 0.8707 0.7646 0.3797  4 F 1.90-1.95
13 F 0.8273 0.4024 0.6099  1 Li 1.90, 1 Cu 1.91
14 F 0.7060 0.4844 0.3504  3 Li 1.94-1.98, 1 Cu 1.95
15 F 0.4521 0.0643 0.8717  1 Cu 1.91, 2 Li 1.92-1.98
16 F 0.2060 0.5156 0.1496  3 Li 1.94-1.98, 1 Cu 1.95
17 F 0.9093 0.9371 0.9005  2 Li 1.90-2.06, 1 Cu 1.90
18 F 0.4093 0.0629 0.5995  2 Li 1.90-2.06, 1 Cu 1.90
19 F 0.6727 0.4024 0.1099  1 Li 1.90, 1 Cu 1.91
20 F 0.9521 0.9357 0.6283  1 Cu 1.91, 2 Li 1.92-1.98
21 F 0.0479 0.0643 0.3717  1 Cu 1.91, 2 Li 1.92-1.98
22 F 0.3273 0.5976 0.8901  1 Li 1.90, 1 Cu 1.91
23 F 0.5907 0.9371 0.4005  2 Li 1.90-2.06, 1 Cu 1.90
24 F 0.0907 0.0629 0.0995  2 Li 1.90-2.06, 1 Cu 1.90
25 F 0.7940 0.4844 0.8504  3 Li 1.94-1.98, 1 Cu 1.95
26 F 0.5479 0.9357 0.1283  1 Cu 1.91, 2 Li 1.92-1.98
27 F 0.2940 0.5156 0.6496  3 Li 1.94-1.98, 1 Cu 1.95
28 F 0.1727 0.5976 0.3901  1 Li 1.90, 1 Cu 1.91

3.
VASP calculation (GGA-PBE) on a geometry-optimized BeAlOs3 structure.

**Uncorrected energy**: -7.645 eV/atom
**Distance to the lowest polymorph of the same formula**: 0.00 kcal/mol of atoms
**Energy of formation from the pure elements**: 587 meV/atom
**Symmetry**: Pm-3m, No. 221

Cell lengths 4.1142, 4.1142, 4.1142 Å; angles 90.00, 90.00, 90.00 degrees
With the nearest neighbours (Å) after each atom.
Atoms (fractional coordinates):
1 Be 0.0000 0.0000 0.0000  6 Os 2.06
2 Os 0.0000 0.5000 0.0000  2 Be 2.06
3 Os 0.0000 0.0000 0.5000  2 Be 2.06
4 Os 0.5000 0.0000 0.0000  2 Be 2.06
5 Al 0.5000 0.5000 0.5000  12 Os 2.91

4.
VASP calculation (GGA-PBE) on a geometry-optimized LaTi2Re2 structure.

**Uncorrected energy**: -9.025 eV/atom
**Distance to the lowest polymorph of the same formula**: 2.06 kcal/mol of atoms
**Energy of formation from the pure elements**: 97 meV/atom
**Symmetry**: P4/mbm, No. 127

Cell lengths 7.8448, 7.8448, 3.0356 Å; angles 90.00, 90.00, 90.00 degrees
With the nearest neighbours (Å) after each atom.
Atoms (fractional coordinates):
1 Re 0.3515 0.8515 0.0000  6 Ti 2.71-2.83, 2 La 2.99
2 Re 0.8515 0.6485 0.0000  6 Ti 2.71-2.83, 2 La 2.99
3 Re 0.6485 0.1485 0.0000  6 Ti 2.71-2.83, 2 La 2.99
4 Re 0.1485 0.3515 0.0000  6 Ti 2.71-2.83, 2 La 2.99
5 Ti 0.1367 0.6367 0.5000  6 Re 2.71-2.83
6 Ti 0.6367 0.8633 0.5000  6 Re 2.71-2.83
7 Ti 0.8633 0.3633 0.5000  6 Re 2.71-2.83
8 Ti 0.3633 0.1367 0.5000  6 Re 2.71-2.83
9 La 0.0000 0.0000 0.0000  4 Re 2.99, 2 La 3.04
10 La 0.5000 0.5000 0.0000  4 Re 2.99, 2 La 3.04